[1]
Here is a relaxed OsC2 crystal from the Alexandria database. Energies are from PBEsol.

Summary:
Relative energy among the computed polymorphs = 0.558 eV/atom
DFT formation energy = 1.39 eV per atom

a b c (Å): 4.9878 4.9878 2.7633
angles (deg): 90.00 90.00 90.00
Space group P4_2/mnm (No. 136)
Symmetry-distinct sites (fractional):
Os  0.0000  0.0000  0.0000
C  0.2103  0.2103  0.5000

[2]
Here is a relaxed Si2SbMo crystal from the Alexandria database. Energies are from PBEsol.

a b c (Å): 3.3110 4.4668 4.4770
angles (deg): 90.00 90.00 90.00
Space group Pmmm (No. 47)
Symmetry-distinct sites (fractional):
Si  0.0000  0.0000  0.0000
Si  0.5000  0.0000  0.5000
Sb  0.0000  0.5000  0.5000
Mo  0.5000  0.5000  0.0000

[3]
Here is a relaxed K2AlRe crystal from the Alexandria database. Energies are from PBEsol.

Summary:
DFT formation energy = 1.27 eV per atom

a b c (Å): 3.7963 3.7963 23.6841
angles (deg): 90.00 90.00 90.00
Space group I-42d (No. 122)
Symmetry-distinct sites (fractional):
K  0.2498  0.2500  0.1250
Al  0.0000  0.0000  0.0000
Re  0.0000  0.0000  0.5000

[4]
Here is a relaxed Ca5Bi3 crystal from the Alexandria database. Energies are from PBEsol.

Summary:
DFT formation energy = -0.88 eV per atom

a b c (Å): 12.6167 9.6618 8.3475
angles (deg): 90.00 90.00 90.00
Space group Pnma (No. 62)
Symmetry-distinct sites (fractional):
Ca  0.0048  0.2500  0.0344
Ca  0.0751  0.0431  0.6936
Ca  0.2091  0.7500  0.3468
Ca  0.2296  0.2500  0.3178
Bi  0.0161  0.7500  0.5785
Bi  0.1712  0.5121  0.0641

[5]
Here is a relaxed HfTeAuI2 crystal from the Alexandria database. Energies are from PBEsol.

a b c (Å): 5.4933 5.4933 5.5404
angles (deg): 90.00 90.00 90.00
Space group P4/mmm (No. 123)
Symmetry-distinct sites (fractional):
Hf  0.0000  0.0000  0.0000
Te  0.0000  0.0000  0.5000
Au  0.5000  0.5000  0.5000
I  0.0000  0.5000  0.0000

[6]
Here is a relaxed Mn3AlSb crystal from the Alexandria database. Energies are from PBEsol.

a b c (Å): 4.8902 4.8902 4.8902
angles (deg): 90.00 90.00 90.00
Space group Pm-3m (No. 221)
Symmetry-distinct sites (fractional):
Mn  0.0000  0.0000  0.5000
Al  0.5000  0.5000  0.5000
Sb  0.0000  0.0000  0.0000

[7]
Here is a relaxed RbLi2Ga2B3O9 crystal from the Alexandria database. Energies are from PBEsol.

a b c (Å): 6.2664 4.9597 12.7489
angles (deg): 90.00 91.27 90.00
Space group P2/c (No. 13)
Symmetry-distinct sites (fractional):
Rb  0.0000  0.2068  0.2500
Li  0.4945  0.1725  0.3660
Ga  0.2354  0.3168  0.5640
B  0.1942  0.1850  0.9581
B  0.5000  0.3334  0.7500
O  0.0443  0.3042  0.8927
O  0.2387  0.0891  0.4486
O  0.3042  0.3308  0.0344
O  0.4018  0.1770  0.6707
O  0.5000  0.3969  0.2500

[8]
Here is a relaxed BeCr2Au crystal from the Alexandria database. Energies are from PBEsol.

Summary:
DFT formation energy = 0.49 eV per atom

a b c (Å): 4.0600 4.0600 3.2491
angles (deg): 90.00 90.00 90.00
Space group P4/mmm (No. 123)
Symmetry-distinct sites (fractional):
Be  0.0000  0.0000  0.0000
Cr  0.0000  0.5000  0.5000
Au  0.5000  0.5000  0.0000

no.,total magnetization (Bohr magnetons per cell),D(E_F) (states/eV/f.u.),uncorrected energy (eV/atom)
1,0.000,0.2,-9.1091
2,0.000,2.8,-6.4486
3,0.003,1.7,-3.6544
4,3.994,1.1,-3.8215
5,0.000,3.3,-4.1520
6,11.349,2.5,-6.3714
7,0.098,0.0,-6.9424
8,5.776,3.1,-6.6136